AcSmTePb | PBE-GGA | relaxed Values from VASP.

Geometry as Quantum ESPRESSO input:
```
&SYSTEM
  ibrav = 0, nat = 4, ntyp = 4
/
ATOMIC_SPECIES
Ac 227.00 Ac.upf
Sm 150.36 Sm.upf
Te 127.60 Te.upf
Pb 207.20 Pb.upf
CELL_PARAMETERS angstrom
4.672 0.000 0.000
2.336 4.046 0.000
2.336 1.349 7.608
ATOMIC_POSITIONS crystal
Ac 0.691 0.691 0.926
Sm 0.197 0.197 0.409
Te 0.450 0.450 0.650
Pb 0.938 0.938 0.186
```

Values from the calculation:
Raw total energy = -19.7 eV for the cell shown
DOS at the Fermi energy = 1.46 states/eV/cell
ρ = 8.224 g/cm3
Excess energy over the best structure of this formula in the dataset = 0 meV per atom
Symmetry = R3m, No. 160
Volume = 35.9 A^3/atom
Uncorrected formation energy = -1.01 eV per atom

=====

KNaZnHg | PBE-GGA | relaxed Values from VASP.

Geometry as Quantum ESPRESSO input:
```
&SYSTEM
  ibrav = 0, nat = 4, ntyp = 4
/
ATOMIC_SPECIES
K 39.10 K.upf
Na 22.99 Na.upf
Zn 65.41 Zn.upf
Hg 200.59 Hg.upf
CELL_PARAMETERS angstrom
5.611 0.000 0.000
2.805 4.859 0.000
2.805 1.620 4.581
ATOMIC_POSITIONS crystal
K 0.000 0.000 0.000
Na 0.500 0.500 0.500
Zn 0.750 0.750 0.750
Hg 0.250 0.250 0.250
```

Values from the calculation:
Raw total energy = -4.0 eV for the cell shown
Energy of formation from the pure elements = -0.01 eV/atom
DOS at the Fermi energy = 1.79 states/eV/cell
ρ = 4.362 g/cm3
Symmetry = F-43m, No. 216
Volume = 31.2 A^3/atom

=====

Mn3NbV | PBE-GGA | relaxed Values from VASP.

Geometry as Quantum ESPRESSO input:
```
&SYSTEM
  ibrav = 0, nat = 5, ntyp = 3
/
ATOMIC_SPECIES
Nb 92.91 Nb.upf
Mn 54.94 Mn.upf
V 50.94 V.upf
CELL_PARAMETERS angstrom
4.644 0.000 0.000
0.000 4.644 0.000
0.000 0.000 4.644
ATOMIC_POSITIONS crystal
Nb 0.000 0.000 0.000
Mn 0.000 0.500 0.000
Mn 0.000 0.000 0.500
Mn 0.500 0.000 0.000
V 0.500 0.500 0.500
```

Values from the calculation:
Raw total energy = -39.1 eV for the cell shown
Energy of formation from the pure elements = 1.52 eV/atom
DOS at the Fermi energy = 6.89 states/eV/cell
ρ = 5.118 g/cm3
Excess energy over the best structure of this formula in the dataset = 609 meV per atom
Symmetry = Pm-3m, No. 221
Volume = 20.0 A^3/atom

=====

LuZnInGa | PBE-GGA | relaxed Values from VASP.

Geometry as Quantum ESPRESSO input:
```
&SYSTEM
  ibrav = 0, nat = 4, ntyp = 4
/
ATOMIC_SPECIES
Zn 65.41 Zn.upf
Lu 174.97 Lu.upf
Ga 69.72 Ga.upf
In 114.82 In.upf
CELL_PARAMETERS angstrom
4.904 0.000 0.000
2.452 4.247 0.000
2.452 1.416 4.004
ATOMIC_POSITIONS crystal
Zn 0.750 0.750 0.750
Lu 0.500 0.500 0.500
Ga 0.250 0.250 0.250
In 0.000 0.000 0.000
```

Values from the calculation:
Raw total energy = -12.3 eV for the cell shown
Energy of formation from the pure elements = -0.17 eV/atom
DOS at the Fermi energy = 3.32 states/eV/cell
ρ = 8.459 g/cm3
Symmetry = F-43m, No. 216
Volume = 20.9 A^3/atom

=====

In5IrPt2 | PBE-GGA | relaxed Values from VASP.

Geometry as Quantum ESPRESSO input:
```
&SYSTEM
  ibrav = 0, nat = 32, ntyp = 3
/
ATOMIC_SPECIES
In 114.82 In.upf
Ir 192.22 Ir.upf
Pt 195.08 Pt.upf
CELL_PARAMETERS angstrom
7.093 0.000 0.000
0.000 8.376 0.000
0.000 0.000 11.069
ATOMIC_POSITIONS crystal
In 0.026 0.250 0.497
In 0.974 0.750 0.503
In 0.526 0.750 0.003
In 0.474 0.250 0.997
In 0.336 0.954 0.592
In 0.664 0.046 0.408
In 0.836 0.046 0.908
In 0.664 0.454 0.408
In 0.164 0.954 0.092
In 0.336 0.546 0.592
In 0.164 0.546 0.092
In 0.836 0.454 0.908
In 0.196 0.250 0.769
In 0.804 0.750 0.231
In 0.696 0.750 0.731
In 0.304 0.250 0.269
In 0.668 0.250 0.689
In 0.332 0.750 0.311
In 0.168 0.750 0.811
In 0.832 0.250 0.189
Ir 0.410 0.250 0.510
Ir 0.590 0.750 0.490
Ir 0.910 0.750 0.990
Ir 0.090 0.250 0.010
Pt 0.463 0.505 0.831
Pt 0.537 0.495 0.169
Pt 0.963 0.495 0.669
Pt 0.537 0.005 0.169
Pt 0.037 0.505 0.331
Pt 0.463 0.995 0.831
Pt 0.037 0.995 0.331
Pt 0.963 0.005 0.669
```

Values from the calculation:
Raw total energy = -146.5 eV for the cell shown
Energy of formation from the pure elements = -0.25 eV/atom
DOS at the Fermi energy = 6.29 states/eV/cell
ρ = 11.682 g/cm3
Symmetry = Pnma, No. 62
Volume = 20.5 A^3/atom

=====

CoReTc | PBE-GGA | relaxed Values from VASP.

Geometry as Quantum ESPRESSO input:
```
&SYSTEM
  ibrav = 0, nat = 3, ntyp = 3
/
ATOMIC_SPECIES
Co 58.93 Co.upf
Re 186.21 Re.upf
Tc 98.00 Tc.upf
CELL_PARAMETERS angstrom
4.219 0.000 0.000
-2.109 3.654 0.000
0.000 0.000 2.637
ATOMIC_POSITIONS crystal
Co 0.000 0.000 0.167
Re 0.333 0.667 0.166
Tc 0.667 0.333 0.667
```

Values from the calculation:
Raw total energy = -29.6 eV for the cell shown
Energy of formation from the pure elements = 0.10 eV/atom
DOS at the Fermi energy = 3.04 states/eV/cell
ρ = 14.019 g/cm3
Excess energy over the best structure of this formula in the dataset = 116 meV per atom
Symmetry = P-6m2, No. 187
Volume = 13.5 A^3/atom